MgTaAlTe2: optimized geometry, PBE.

Geometry as extended XYZ:
```
5
Lattice="5.385 0.000 0.000 0.000 5.405 0.000 0.000 0.000 5.385" Properties=species:S:1:pos:R:3 pbc="T T T"
Mg 0.000 2.703 0.000
Te 0.000 0.000 2.693
Te 2.693 0.000 0.000
Al 2.693 2.703 2.693
Ta 0.000 0.000 0.000
```

Crystal system: tetragonal
Calculated total energy (eV for the cell shown): -21.20
Uncorrected formation energy (meV per atom): 455
Volume (Å³/atom): 31.35